# 1
A plane-wave DFT calculation with PBE was carried out for a geometry-optimized CeTh2NpAs4 structure.

a b c (Å): 7.300 4.222 7.301
angles (deg): 90.00 109.57 90.00
Positions (direct):
Ce 0.000 0.000 0.000
Th 0.500 0.000 0.500
Th 0.500 0.500 0.000
Np 0.000 0.500 0.500
As 0.243 0.000 0.745
As 0.245 0.500 0.250
As 0.755 0.500 0.750
As 0.757 0.000 0.255

* E: -7.774 eV per atom
* theoretical density: 8.9 Mg/m³
* E_form: -119.2 kJ/mol of atoms

# 2
A plane-wave DFT calculation with PBE was carried out for a geometry-optimized CeTm2NpAs4 structure.

a b c (Å): 7.120 4.108 7.134
angles (deg): 90.00 109.47 90.00
Positions (direct):
Ce 0.000 0.000 0.000
Tm 0.000 0.500 0.500
Tm 0.500 0.000 0.500
Np 0.500 0.500 0.000
As 0.252 0.000 0.746
As 0.255 0.500 0.256
As 0.745 0.500 0.744
As 0.748 0.000 0.254

* E: -7.074 eV per atom
* theoretical density: 8.6 Mg/m³
* E_form: -122.8 kJ/mol of atoms

# 3
A plane-wave DFT calculation with PBE was carried out for a geometry-optimized CeTmNp2As4 structure.

a b c (Å): 7.148 4.124 7.149
angles (deg): 90.00 109.44 90.00
Positions (direct):
Ce 0.000 0.000 0.000
Tm 0.500 0.500 0.000
Np 0.000 0.500 0.500
Np 0.500 0.000 0.500
As 0.254 0.000 0.749
As 0.256 0.500 0.254
As 0.744 0.500 0.746
As 0.746 0.000 0.251

* E: -7.925 eV per atom
* theoretical density: 9.0 Mg/m³
* E_form: -102.7 kJ/mol of atoms

# 4
A plane-wave DFT calculation with PBE was carried out for a geometry-optimized Ce2TmNpAs4 structure.

a b c (Å): 7.169 4.154 7.199
angles (deg): 90.00 109.48 90.00
Positions (direct):
Ce 0.000 0.000 0.000
Ce 0.000 0.500 0.500
Tm 0.500 0.000 0.500
Np 0.500 0.500 0.000
As 0.258 0.000 0.751
As 0.258 0.500 0.254
As 0.742 0.000 0.249
As 0.742 0.500 0.746

* E: -7.239 eV per atom
* theoretical density: 8.1 Mg/m³
* E_form: -121.0 kJ/mol of atoms

# 5
A plane-wave DFT calculation with PBE was carried out for a geometry-optimized Ce2NpU3As6 structure.

a b c (Å): 9.238 9.238 8.344
angles (deg): 103.05 103.05 25.59
Positions (direct):
Ce 0.165 0.165 0.334
Ce 0.835 0.835 0.666
Np 0.500 0.500 0.000
U 0.168 0.168 0.837
U 0.500 0.500 0.500
U 0.832 0.832 0.163
As 0.003 0.003 0.749
As 0.333 0.333 0.920
As 0.335 0.335 0.409
As 0.665 0.665 0.591
As 0.667 0.667 0.080
As 0.997 0.997 0.251

* E: -8.142 eV per atom
* theoretical density: 9.3 Mg/m³
* E_form: -89.5 kJ/mol of atoms

# 6
A plane-wave DFT calculation with PBE was carried out for a geometry-optimized CeNp3U2As6 structure.

a b c (Å): 7.108 7.108 7.124
angles (deg): 99.51 99.51 119.67
Positions (direct):
Ce 0.000 0.000 0.000
Np 0.164 0.836 0.500
Np 0.500 0.500 0.500
Np 0.836 0.164 0.500
U 0.333 0.667 0.000
U 0.667 0.333 0.000
As 0.084 0.423 0.251
As 0.255 0.255 0.750
As 0.423 0.084 0.251
As 0.577 0.916 0.749
As 0.745 0.745 0.250
As 0.916 0.577 0.749

* E: -8.720 eV per atom
* theoretical density: 10.0 Mg/m³
* E_form: -75.7 kJ/mol of atoms

Please write out number 1 again, unchanged.
A plane-wave DFT calculation with PBE was carried out for a geometry-optimized CeTh2NpAs4 structure.

a b c (Å): 7.300 4.222 7.301
angles (deg): 90.00 109.57 90.00
Positions (direct):
Ce 0.000 0.000 0.000
Th 0.500 0.000 0.500
Th 0.500 0.500 0.000
Np 0.000 0.500 0.500
As 0.243 0.000 0.745
As 0.245 0.500 0.250
As 0.755 0.500 0.750
As 0.757 0.000 0.255

* E: -7.774 eV per atom
* theoretical density: 8.9 Mg/m³
* E_form: -119.2 kJ/mol of atoms